! PBE DyNiI, relaxed; values from VASP
&SYSTEM
  ibrav = 0, nat = 6, ntyp = 3
/
ATOMIC_SPECIES
Dy 162.50 Dy.upf
Ni 58.69 Ni.upf
I 126.90 I.upf
CELL_PARAMETERS angstrom
-3.005 -1.081 -2.589
0.056 -3.527 1.407
-7.109 4.482 6.332
ATOMIC_POSITIONS angstrom
Dy -2.266 -2.572 -0.445
Dy -5.860 1.677 5.166
Ni -7.326 3.992 5.904
Ni -7.965 3.123 3.742
I -6.079 -1.108 3.317
I -2.046 0.216 1.403
! Space group = P-1, No. 2
! Formation energy without anion corrections = -789.9 meV per atom
! DOS at the Fermi energy = 2.50 states/eV per cell
! Final energy = -28.606 eV per cell